DFT (PBE-GGA) results for Cd2HF2 after structural relaxation.

Output
SG: I4_1md, No. 109
DFT total energy in eV per atom: -2.778
N(E_F) in states/eV per atom: 0.32
Magnetization in μB per formula unit: 0.00

Cell lengths 6.8823, 6.8823, 7.2395 Å; angles 118.38, 118.38, 90.00 degrees
Fractional coordinates of all 10 atoms:
F 0.6285 0.3459 0.2570
Cd 0.4146 0.6633 0.8292
F 0.6285 0.9112 0.2570
Cd 0.4159 0.1646 0.3292
H 0.0944 0.0944 0.1889
F 0.1612 0.3785 0.7570
H 0.3444 0.8444 0.6889
Cd 0.4146 0.1659 0.8292
Cd 0.9133 0.1646 0.3292
F 0.5959 0.3785 0.7570